Entry 1:
Density functional theory data (PBE) for Zr2TaC after structural relaxation.

Computed properties:
Formation energy from the elements   1163 meV per atom

Cell: 6.450 6.450 6.450 Å, 90.00 90.00 90.00°
Space group F-43m (No. 216)
Symmetry-distinct sites (fractional):
Zr 0.000 0.000 0.000 (multiplicity 4)
Zr 0.250 0.250 0.250 (multiplicity 4)
Ta 0.000 0.000 0.500 (multiplicity 4)
C 0.250 0.250 0.750 (multiplicity 4)


Entry 2:
Density functional theory data (PBE) for ZrTa3C3 after structural relaxation.

Computed properties:
Formation energy from the elements   -116 meV per atom

Cell: 6.3907 6.3907 16.8179 Å, 90.00 90.00 120.00°
Space group R-3 (No. 148, hexagonal axes)
Symmetry-distinct sites (fractional):
Zr 0.0000 0.0000 0.1723 (multiplicity 6)
Ta 0.0174 0.2808 0.6123 (multiplicity 18)
C 0.0088 0.3904 0.4113 (multiplicity 18)


Entry 3:
Density functional theory data (PBE) for ZrTaC after structural relaxation.

Computed properties:
Energy above the most stable polymorph in this dataset   0.0 meV per atom
Formation energy from the elements   -544 meV per atom

Cell: 11.416 3.254 5.536 Å, 90.00 114.57 90.00°
Space group C2/m (No. 12)
Symmetry-distinct sites (fractional):
Zr 0.122 0.000 0.310 (multiplicity 4)
Ta 0.133 0.500 0.817 (multiplicity 4)
C 0.247 0.000 0.759 (multiplicity 4)


Entry 4:
Density functional theory data (PBE) for Zr3TaC after structural relaxation.

Computed properties:
Energy above the most stable polymorph in this dataset   0.0 meV per atom
Formation energy from the elements   -136 meV per atom

Cell: 4.566 4.566 4.566 Å, 90.00 90.00 90.00°
Space group Pm-3m (No. 221)
Symmetry-distinct sites (fractional):
Zr 0.000 0.000 0.500 (multiplicity 3)
Ta 0.500 0.500 0.500 (multiplicity 1)
C 0.000 0.000 0.000 (multiplicity 1)


Entry 5:
Density functional theory data (PBE) for Zr2TaC after structural relaxation.

Computed properties:
Formation energy from the elements   -262 meV per atom

Cell: 3.2232 3.2232 23.2529 Å, 90.00 90.00 120.00°
Space group R-3m (No. 166, hexagonal axes)
Symmetry-distinct sites (fractional):
Zr 0.0000 0.0000 0.2245 (multiplicity 6)
Ta 0.0000 0.0000 0.0000 (multiplicity 3)
C 0.0000 0.0000 0.5000 (multiplicity 3)


Entry 6:
Density functional theory data (PBE) for Zr2TaC after structural relaxation.

Computed properties:
Formation energy from the elements   890 meV per atom

Cell: 3.838 3.838 9.343 Å, 90.00 90.00 90.00°
Space group I-4m2 (No. 119)
Symmetry-distinct sites (fractional):
Zr 0.000 0.000 0.000 (multiplicity 2)
Zr 0.000 0.500 0.250 (multiplicity 2)
Ta 0.000 0.000 0.500 (multiplicity 2)
C 0.000 0.500 0.750 (multiplicity 2)